[1]
Crystalline LiErThHg at its relaxed geometry. Source: Alexandria, functional PBE-GGA.

Computed properties:
Energy relative to the elements   -55 meV/atom
Calculated volume   103.94 Å³/f.u.

a = 7.464 Å, b = 7.464 Å, c = 7.464 Å
α = 90.00°, β = 90.00°, γ = 90.00°
Sites, in units of the cell vectors:
Li (0.000, 0.000, 0.000)
Li (0.000, 0.500, 0.500)
Li (0.500, 0.000, 0.500)
Li (0.500, 0.500, 0.000)
Er (0.250, 0.250, 0.250)
Er (0.250, 0.750, 0.750)
Er (0.750, 0.250, 0.750)
Er (0.750, 0.750, 0.250)
Th (0.250, 0.250, 0.750)
Th (0.250, 0.750, 0.250)
Th (0.750, 0.250, 0.250)
Th (0.750, 0.750, 0.750)
Hg (0.000, 0.000, 0.500)
Hg (0.000, 0.500, 0.000)
Hg (0.500, 0.000, 0.000)
Hg (0.500, 0.500, 0.500)

***

[2]
Crystalline LiErTlHg at its relaxed geometry. Source: Alexandria, functional PBE-GGA.

Computed properties:
Energy relative to the elements   -371 meV/atom
Calculated volume   91.72 Å³/f.u.

a = 7.159 Å, b = 7.159 Å, c = 7.159 Å
α = 90.00°, β = 90.00°, γ = 90.00°
Sites, in units of the cell vectors:
Li (0.000, 0.000, 0.000)
Li (0.000, 0.500, 0.500)
Li (0.500, 0.000, 0.500)
Li (0.500, 0.500, 0.000)
Er (0.000, 0.000, 0.500)
Er (0.000, 0.500, 0.000)
Er (0.500, 0.000, 0.000)
Er (0.500, 0.500, 0.500)
Tl (0.250, 0.250, 0.250)
Tl (0.250, 0.750, 0.750)
Tl (0.750, 0.250, 0.750)
Tl (0.750, 0.750, 0.250)
Hg (0.250, 0.250, 0.750)
Hg (0.250, 0.750, 0.250)
Hg (0.750, 0.250, 0.250)
Hg (0.750, 0.750, 0.750)

***

[3]
Crystalline LiErTm2Hg4 at its relaxed geometry. Source: Alexandria, functional PBE-GGA.

Computed properties:
Energy relative to the elements   -451 meV/atom
Calculated volume   189.51 Å³/f.u.

a = 8.921 Å, b = 8.921 Å, c = 8.921 Å
α = 33.20°, β = 33.20°, γ = 33.20°
Sites, in units of the cell vectors:
Li (0.000, 0.000, 0.000)
Er (0.500, 0.500, 0.500)
Tm (0.254, 0.254, 0.254)
Tm (0.746, 0.746, 0.746)
Hg (0.123, 0.123, 0.123)
Hg (0.374, 0.374, 0.374)
Hg (0.626, 0.626, 0.626)
Hg (0.877, 0.877, 0.877)

***

[4]
Crystalline LiYEr2Hg4 at its relaxed geometry. Source: Alexandria, functional PBE-GGA.

Computed properties:
Energy relative to the elements   -458 meV/atom
Calculated volume   192.71 Å³/f.u.

a = 8.993 Å, b = 8.993 Å, c = 8.993 Å
α = 33.07°, β = 33.07°, γ = 33.07°
Sites, in units of the cell vectors:
Li (0.000, 0.000, 0.000)
Y (0.500, 0.500, 0.500)
Er (0.255, 0.255, 0.255)
Er (0.745, 0.745, 0.745)
Hg (0.121, 0.121, 0.121)
Hg (0.374, 0.374, 0.374)
Hg (0.626, 0.626, 0.626)
Hg (0.879, 0.879, 0.879)

***

Question: energy relative to the elements of number 4 (LiYEr2Hg4)?
Answer: -458 meV/atom

***

Repeat the fourth record exactly.
Crystalline LiYEr2Hg4 at its relaxed geometry. Source: Alexandria, functional PBE-GGA.

Computed properties:
Energy relative to the elements   -458 meV/atom
Calculated volume   192.71 Å³/f.u.

a = 8.993 Å, b = 8.993 Å, c = 8.993 Å
α = 33.07°, β = 33.07°, γ = 33.07°
Sites, in units of the cell vectors:
Li (0.000, 0.000, 0.000)
Y (0.500, 0.500, 0.500)
Er (0.255, 0.255, 0.255)
Er (0.745, 0.745, 0.745)
Hg (0.121, 0.121, 0.121)
Hg (0.374, 0.374, 0.374)
Hg (0.626, 0.626, 0.626)
Hg (0.879, 0.879, 0.879)